Entry from the Alexandria database: an optimized crystal structure of Tb3Y4Ga4 (PBE).

## Properties
theoretical density: 6.2 g/cm3
crystal system: orthorhombic
DFT formation energy: -342 meV per atom

Cell and atoms, written as CIF:
```
data_Tb3Y4Ga4
_chemical_formula_sum 'Tb6 Y8 Ga8'
_cell_length_a 4.617
_cell_length_b 8.081
_cell_length_c 15.907
_cell_angle_alpha 90.00
_cell_angle_beta 90.00
_cell_angle_gamma 90.00
_symmetry_space_group_name_H-M 'I m m m'
_symmetry_Int_Tables_number 71
_symmetry_space_group_name_Hall '-I 2 2'
loop_
_atom_site_label
_atom_site_type_symbol
_atom_site_fract_x
_atom_site_fract_y
_atom_site_fract_z
Tb1 Tb 0.000 0.000 0.000
Tb2 Tb 0.000 0.500 0.112
Y1 Y 0.000 0.295 0.332
Ga1 Ga 0.000 0.000 0.216
Ga2 Ga 0.000 0.165 0.500
```

Entry from the Alexandria database: an optimized crystal structure of TbY3Ga (PBE).

## Properties
theoretical density: 5.2 g/cm3
crystal system: monoclinic
DFT formation energy: -95 meV per atom

Cell and atoms, written as CIF:
```
data_TbY3Ga
_chemical_formula_sum 'Tb4 Y12 Ga4'
_cell_length_a 11.902
_cell_length_b 8.968
_cell_length_c 7.738
_cell_angle_alpha 90.00
_cell_angle_beta 130.46
_cell_angle_gamma 90.00
_symmetry_space_group_name_H-M 'C 1 2/m 1'
_symmetry_Int_Tables_number 12
_symmetry_space_group_name_Hall '-C 2y'
loop_
_atom_site_label
_atom_site_type_symbol
_atom_site_fract_x
_atom_site_fract_y
_atom_site_fract_z
Tb1 Tb 0.067 0.000 0.268
Y1 Y 0.053 0.500 0.328
Y2 Y 0.220 0.192 0.755
Ga1 Ga 0.246 0.000 0.116
```

Entry from the Alexandria database: an optimized crystal structure of Tb2YGa (PBE).

## Properties
theoretical density: 6.4 g/cm3
crystal system: trigonal
DFT formation energy: 149 meV per atom
distance to the lowest polymorph of the same formula: 0.431 eV per atom

Cell and atoms, written as CIF:
```
data_Tb2YGa
_chemical_formula_sum 'Tb6 Y3 Ga3'
_cell_length_a 3.5046
_cell_length_b 3.5046
_cell_length_c 35.1106
_cell_angle_alpha 90.00
_cell_angle_beta 90.00
_cell_angle_gamma 120.00
_symmetry_space_group_name_H-M 'R -3 m'
_symmetry_Int_Tables_number 166
_symmetry_space_group_name_Hall '-R 3 2"'
loop_
_atom_site_label
_atom_site_type_symbol
_atom_site_fract_x
_atom_site_fract_y
_atom_site_fract_z
Tb1 Tb 0.0000 0.0000 0.0855
Y1 Y 0.0000 0.0000 0.5000
Ga1 Ga 0.0000 0.0000 0.0000
```

Entry from the Alexandria database: an optimized crystal structure of TbY2Ga2 (PBE).

## Properties
theoretical density: 6.2 g/cm3
crystal system: monoclinic
DFT formation energy: -482 meV per atom
distance to the lowest polymorph of the same formula: 0.051 eV per atom

Cell and atoms, written as CIF:
```
data_TbY2Ga2
_chemical_formula_sum 'Tb4 Y8 Ga8'
_cell_length_a 11.793
_cell_length_b 4.729
_cell_length_c 10.696
_cell_angle_alpha 90.00
_cell_angle_beta 120.86
_cell_angle_gamma 90.00
_symmetry_space_group_name_H-M 'C 1 2/m 1'
_symmetry_Int_Tables_number 12
_symmetry_space_group_name_Hall '-C 2y'
loop_
_atom_site_label
_atom_site_type_symbol
_atom_site_fract_x
_atom_site_fract_y
_atom_site_fract_z
Tb1 Tb 0.198 0.000 0.351
Y1 Y 0.030 0.500 0.689
Y2 Y 0.186 0.500 0.097
Ga1 Ga 0.058 0.000 0.921
Ga2 Ga 0.127 0.000 0.583
```

Entry from the Alexandria database: an optimized crystal structure of Tb2YGa (PBE).

## Properties
theoretical density: 7.4 g/cm3
crystal system: tetragonal
DFT formation energy: -239 meV per atom
distance to the lowest polymorph of the same formula: 0.043 eV per atom

Cell and atoms, written as CIF:
```
data_Tb2YGa
_chemical_formula_sum 'Tb2 Y1 Ga1'
_cell_length_a 4.728
_cell_length_b 4.728
_cell_length_c 4.768
_cell_angle_alpha 90.00
_cell_angle_beta 90.00
_cell_angle_gamma 90.00
_symmetry_space_group_name_H-M 'P 4/m m m'
_symmetry_Int_Tables_number 123
_symmetry_space_group_name_Hall '-P 4 2'
loop_
_atom_site_label
_atom_site_type_symbol
_atom_site_fract_x
_atom_site_fract_y
_atom_site_fract_z
Tb1 Tb 0.000 0.500 0.000
Y1 Y 0.000 0.000 0.500
Ga1 Ga 0.500 0.500 0.500
```

Entry from the Alexandria database: an optimized crystal structure of Tb2YGa (PBE).

## Properties
theoretical density: 6.8 g/cm3
crystal system: trigonal
DFT formation energy: -195 meV per atom
distance to the lowest polymorph of the same formula: 0.087 eV per atom

Cell and atoms, written as CIF:
```
data_Tb2YGa
_chemical_formula_sum 'Tb6 Y3 Ga3'
_cell_length_a 3.6376
_cell_length_b 3.6376
_cell_length_c 30.6460
_cell_angle_alpha 90.00
_cell_angle_beta 90.00
_cell_angle_gamma 120.00
_symmetry_space_group_name_H-M 'R 3 m'
_symmetry_Int_Tables_number 160
_symmetry_space_group_name_Hall 'R 3 -2"'
loop_
_atom_site_label
_atom_site_type_symbol
_atom_site_fract_x
_atom_site_fract_y
_atom_site_fract_z
Tb1 Tb 0.0000 0.0000 0.0000
Tb2 Tb 0.0000 0.0000 0.1917
Y1 Y 0.0000 0.0000 0.4295
Ga1 Ga 0.0000 0.0000 0.5955
```

Entry from the Alexandria database: an optimized crystal structure of Tb2Y3Ga4 (PBE).

## Properties
theoretical density: 6.3 g/cm3
crystal system: monoclinic
DFT formation energy: -475 meV per atom

Cell and atoms, written as CIF:
```
data_Tb2Y3Ga4
_chemical_formula_sum 'Tb4 Y6 Ga8'
_cell_length_a 10.464
_cell_length_b 4.466
_cell_length_c 9.750
_cell_angle_alpha 90.00
_cell_angle_beta 92.58
_cell_angle_gamma 90.00
_symmetry_space_group_name_H-M 'C 1 2/m 1'
_symmetry_Int_Tables_number 12
_symmetry_space_group_name_Hall '-C 2y'
loop_
_atom_site_label
_atom_site_type_symbol
_atom_site_fract_x
_atom_site_fract_y
_atom_site_fract_z
Tb1 Tb 0.167 0.000 0.226
Y1 Y 0.000 0.500 0.000
Y2 Y 0.130 0.000 0.604
Ga1 Ga 0.074 0.500 0.394
Ga2 Ga 0.194 0.000 0.921
```

Entry from the Alexandria database: an optimized crystal structure of TbY3Ga3 (PBE).

## Properties
theoretical density: 6.0 g/cm3
crystal system: hexagonal
DFT formation energy: -436 meV per atom

Cell and atoms, written as CIF:
```
data_TbY3Ga3
_chemical_formula_sum 'Tb2 Y6 Ga6'
_cell_length_a 9.1707
_cell_length_b 9.1707
_cell_length_c 4.8007
_cell_angle_alpha 90.00
_cell_angle_beta 90.00
_cell_angle_gamma 120.00
_symmetry_space_group_name_H-M 'P 63/m'
_symmetry_Int_Tables_number 176
_symmetry_space_group_name_Hall '-P 6c'
loop_
_atom_site_label
_atom_site_type_symbol
_atom_site_fract_x
_atom_site_fract_y
_atom_site_fract_z
Tb1 Tb 0.3333 0.6667 0.2500
Y1 Y 0.0163 0.7601 0.7500
Ga1 Ga 0.0583 0.4503 0.7500
```

- Among the records above, which one has the lowest DFT formation energy?
  TbY2Ga2

- Look up the theoretical density of the third one.
  6.4 g/cm3

Repeat the seventh record exactly.
Entry from the Alexandria database: an optimized crystal structure of Tb2Y3Ga4 (PBE).

## Properties
theoretical density: 6.3 g/cm3
crystal system: monoclinic
DFT formation energy: -475 meV per atom

Cell and atoms, written as CIF:
```
data_Tb2Y3Ga4
_chemical_formula_sum 'Tb4 Y6 Ga8'
_cell_length_a 10.464
_cell_length_b 4.466
_cell_length_c 9.750
_cell_angle_alpha 90.00
_cell_angle_beta 92.58
_cell_angle_gamma 90.00
_symmetry_space_group_name_H-M 'C 1 2/m 1'
_symmetry_Int_Tables_number 12
_symmetry_space_group_name_Hall '-C 2y'
loop_
_atom_site_label
_atom_site_type_symbol
_atom_site_fract_x
_atom_site_fract_y
_atom_site_fract_z
Tb1 Tb 0.167 0.000 0.226
Y1 Y 0.000 0.500 0.000
Y2 Y 0.130 0.000 0.604
Ga1 Ga 0.074 0.500 0.394
Ga2 Ga 0.194 0.000 0.921
```